Below is an optimized crystal structure of PuSiSn, with properties calculated at the PBE level.

Cell and atoms, written as extended XYZ:
```
3
Lattice="0.0000 3.4478 3.4478 3.4478 0.0000 3.4478 3.4478 3.4478 0.0000" Properties=species:S:1:pos:R:3 pbc="T T T"
Pu 0.0000 0.0000 0.0000
Si 5.1717 5.1717 5.1717
Sn 1.7239 1.7239 1.7239
```

Values from the calculation:
- M_tot: 1.826 μB per atom
- Total DFT energy (no corrections): -7.70 eV/atom
- Space-group type: No. 216